Density functional theory data (PBE) for a geometry-optimized AlTlGe2I structure.

POSCAR file:
```
AlTlGe2I
1.0
5.555 0.000 0.000
0.000 6.193 0.000
0.000 0.000 5.555
I Tl Ge Al
1 1 2 1
Direct
0.000 0.000 0.000
0.000 0.500 0.000
0.000 0.000 0.500
0.500 0.000 0.000
0.500 0.500 0.500
```

Computed properties:
The final energy is -11.701 eV/cell. Its space-group type is P4/mmm (123). The calculation puts the density of states at the Fermi level at 0.667 states/eV/atom.